(1)
La8SiPd3Br4 | PBE-GGA | relaxed

Results
- Raw formation energy: -1.0607 eV/atom
- Calculated volume: 483.4 Å³ per cell
- Magnetization: 0.00 μB per atom

Cell lengths 9.006, 9.006, 9.006 Å; angles 57.21, 57.21, 57.21 degrees
Fractional positions:
La 0.237 0.237 0.237
La 0.240 0.740 0.740
La 0.260 0.260 0.760
La 0.260 0.760 0.260
La 0.740 0.240 0.740
La 0.740 0.740 0.240
La 0.760 0.260 0.260
La 0.763 0.763 0.763
Si 0.500 0.500 0.500
Pd 0.000 0.000 0.500
Pd 0.000 0.500 0.000
Pd 0.500 0.000 0.000
Br 0.000 0.000 0.000
Br 0.000 0.500 0.500
Br 0.500 0.000 0.500
Br 0.500 0.500 0.000

(2)
La6SiPd2Br3 | PBE-GGA | relaxed

Results
- Raw formation energy: -1.0646 eV/atom
- Calculated volume: 360.1 Å³ per cell
- Magnetization: 0.00 μB per atom

Cell lengths 7.519, 7.519, 7.783 Å; angles 99.28, 99.28, 120.14 degrees
Fractional positions:
La 0.093 0.426 0.779
La 0.241 0.241 0.221
La 0.426 0.093 0.779
La 0.574 0.907 0.221
La 0.759 0.759 0.779
La 0.907 0.574 0.221
Si 0.500 0.500 0.000
Pd 0.167 0.833 0.000
Pd 0.833 0.167 0.000
Br 0.000 0.000 0.500
Br 0.338 0.662 0.500
Br 0.662 0.338 0.500

(3)
SrLa2PdBr | PBE-GGA | relaxed

Results
- Relative energy among the computed polymorphs: 0.979 eV/atom
- Raw formation energy: 0.5017 eV/atom
- Calculated volume: 193.4 Å³ per cell
- Magnetization: 0.00 μB per atom

Cell lengths 6.180, 6.180, 5.064 Å; angles 90.00, 90.00, 90.00 degrees
Fractional positions:
Sr 0.000 0.000 0.000
La 0.000 0.500 0.000
La 0.500 0.000 0.000
Pd 0.000 0.000 0.500
Br 0.500 0.500 0.500

(4)
SrLa2PdBr | PBE-GGA | relaxed

Results
- Relative energy among the computed polymorphs: 0.000 eV/atom
- Raw formation energy: -0.4769 eV/atom
- Calculated volume: 201.4 Å³ per cell
- Magnetization: 0.00 μB per atom

Cell lengths 5.576, 5.576, 6.478 Å; angles 90.00, 90.00, 90.00 degrees
Fractional positions:
Sr 0.000 0.000 0.000
La 0.000 0.500 0.500
La 0.500 0.000 0.500
Pd 0.000 0.000 0.500
Br 0.500 0.500 0.000

(5)
La6TcPd2Br3 | PBE-GGA | relaxed

Results
- Raw formation energy: -1.0019 eV/atom
- Calculated volume: 369.9 Å³ per cell
- Magnetization: 0.00 μB per atom

Cell lengths 7.321, 7.321, 8.337 Å; angles 98.40, 98.40, 120.05 degrees
Fractional positions:
La 0.067 0.383 0.201
La 0.251 0.251 0.799
La 0.383 0.067 0.201
La 0.617 0.933 0.799
La 0.749 0.749 0.201
La 0.933 0.617 0.799
Tc 0.000 0.000 0.000
Pd 0.333 0.667 0.000
Pd 0.667 0.333 0.000
Br 0.162 0.838 0.500
Br 0.500 0.500 0.500
Br 0.838 0.162 0.500

(6)
La2PdWBr | PBE-GGA | relaxed

Results
- Raw formation energy: 0.0426 eV/atom
- Calculated volume: 153.7 Å³ per cell
- Magnetization: 0.00 μB per atom

Cell lengths 5.676, 5.676, 4.772 Å; angles 90.00, 90.00, 90.00 degrees
Fractional positions:
La 0.000 0.500 0.000
La 0.500 0.000 0.000
Pd 0.000 0.000 0.500
W 0.000 0.000 0.000
Br 0.500 0.500 0.500

(7)
LaPmBr3 | PBE-GGA | relaxed

Results
- Relative energy among the computed polymorphs: 0.107 eV/atom
- Raw formation energy: -1.4549 eV/atom
- Calculated volume: 315.7 Å³ per cell
- Magnetization: 0.01 μB per atom

Cell lengths 7.164, 7.309, 7.417 Å; angles 61.58, 70.62, 71.12 degrees
Fractional positions:
La 0.022 0.112 0.223
La 0.978 0.888 0.777
Pm 0.480 0.273 0.382
Pm 0.520 0.727 0.618
Br 0.211 0.651 0.479
Br 0.253 0.470 0.035
Br 0.309 0.026 0.838
Br 0.691 0.974 0.162
Br 0.747 0.530 0.965
Br 0.789 0.349 0.521

(8)
LaPmBr3 | PBE-GGA | relaxed

Results
- Relative energy among the computed polymorphs: 0.000 eV/atom
- Raw formation energy: -1.5615 eV/atom
- Calculated volume: 352.7 Å³ per cell
- Magnetization: 0.00 μB per atom

Cell lengths 8.796, 8.796, 11.403 Å; angles 118.67, 118.67, 27.37 degrees
Fractional positions:
La 0.139 0.139 0.290
La 0.861 0.861 0.710
Pm 0.416 0.416 0.046
Pm 0.584 0.584 0.954
Br 0.047 0.047 0.746
Br 0.225 0.225 0.117
Br 0.344 0.344 0.494
Br 0.656 0.656 0.506
Br 0.775 0.775 0.883
Br 0.953 0.953 0.254

(9)
LaPmBr2 | PBE-GGA | relaxed

Results
- Relative energy among the computed polymorphs: 0.103 eV/atom
- Raw formation energy: -1.1042 eV/atom
- Calculated volume: 126.5 Å³ per cell
- Magnetization: 0.14 μB per atom

Cell lengths 10.652, 10.652, 10.652 Å; angles 20.24, 20.24, 20.24 degrees
Fractional positions:
La 0.000 0.000 0.000
Pm 0.500 0.500 0.500
Br 0.098 0.098 0.098
Br 0.902 0.902 0.902

(10)
La2PmBr6 | PBE-GGA | relaxed

Results
- Raw formation energy: -1.6589 eV/atom
- Calculated volume: 662.1 Å³ per cell
- Magnetization: 0.11 μB per atom

Cell lengths 7.608, 7.608, 11.438 Å; angles 90.00, 90.00, 90.00 degrees
Fractional positions:
La 0.000 0.000 0.171
La 0.000 0.000 0.829
La 0.500 0.500 0.329
La 0.500 0.500 0.671
Pm 0.000 0.000 0.500
Pm 0.500 0.500 0.000
Br 0.218 0.218 0.338
Br 0.218 0.218 0.662
Br 0.221 0.221 0.000
Br 0.279 0.721 0.500
Br 0.282 0.718 0.162
Br 0.282 0.718 0.838
Br 0.718 0.282 0.162
Br 0.718 0.282 0.838
Br 0.721 0.279 0.500
Br 0.779 0.779 0.000
Br 0.782 0.782 0.338
Br 0.782 0.782 0.662

(11)
LaPmBr6 | PBE-GGA | relaxed

Results
- Relative energy among the computed polymorphs: 0.000 eV/atom
- Raw formation energy: -1.8979 eV/atom
- Calculated volume: 335.2 Å³ per cell
- Magnetization: 0.00 μB per atom

Cell lengths 7.528, 7.528, 7.276 Å; angles 97.72, 97.72, 122.20 degrees
Fractional positions:
La 0.000 0.000 0.000
Pm 0.500 0.500 0.500
Br 0.107 0.403 0.256
Br 0.254 0.254 0.749
Br 0.403 0.107 0.256
Br 0.597 0.893 0.744
Br 0.746 0.746 0.251
Br 0.893 0.597 0.744

(12)
LaPmBr5 | PBE-GGA | relaxed

Results
- Raw formation energy: -1.8694 eV/atom
- Calculated volume: 467.1 Å³ per cell
- Magnetization: 0.14 μB per atom

Cell lengths 8.193, 4.161, 13.706 Å; angles 90.00, 91.23, 90.00 degrees
Fractional positions:
La 0.084 0.250 0.158
La 0.916 0.750 0.842
Pm 0.422 0.750 0.345
Pm 0.578 0.250 0.655
Br 0.057 0.750 0.319
Br 0.149 0.250 0.930
Br 0.315 0.250 0.487
Br 0.350 0.750 0.129
Br 0.350 0.750 0.718
Br 0.650 0.250 0.282
Br 0.650 0.250 0.871
Br 0.685 0.750 0.513
Br 0.851 0.750 0.070
Br 0.943 0.250 0.681

(13)
LaPm2Br | PBE-GGA | relaxed

Results
- Raw formation energy: -0.5230 eV/atom
- Calculated volume: 129.4 Å³ per cell
- Magnetization: 0.04 μB per atom

Cell lengths 10.860, 10.860, 10.860 Å; angles 19.87, 19.87, 19.87 degrees
Fractional positions:
La 0.000 0.000 0.000
Pm 0.573 0.573 0.573
Pm 0.760 0.760 0.760
Br 0.167 0.167 0.167

(14)
LaPmBr6 | PBE-GGA | relaxed

Results
- Relative energy among the computed polymorphs: 0.010 eV/atom
- Raw formation energy: -1.8880 eV/atom
- Calculated volume: 307.8 Å³ per cell
- Magnetization: 0.00 μB per atom

Cell lengths 7.907, 7.907, 7.907 Å; angles 54.86, 54.86, 54.86 degrees
Fractional positions:
La 0.000 0.000 0.000
Pm 0.500 0.500 0.500
Br 0.095 0.412 0.746
Br 0.254 0.905 0.588
Br 0.412 0.746 0.095
Br 0.588 0.254 0.905
Br 0.746 0.095 0.412
Br 0.905 0.588 0.254

(15)
LaPmBr4 | PBE-GGA | relaxed

Results
- Raw formation energy: -1.6970 eV/atom
- Calculated volume: 215.4 Å³ per cell
- Magnetization: 0.00 μB per atom

Cell lengths 7.014, 4.048, 7.927 Å; angles 90.00, 106.82, 90.00 degrees
Fractional positions:
La 0.000 0.000 0.000
Pm 0.500 0.500 0.000
Br 0.257 0.500 0.252
Br 0.261 0.000 0.754
Br 0.739 0.000 0.246
Br 0.743 0.500 0.748

(16)
LaPmBr2 | PBE-GGA | relaxed

Results
- Relative energy among the computed polymorphs: 0.000 eV/atom
- Raw formation energy: -1.2075 eV/atom
- Calculated volume: 112.4 Å³ per cell
- Magnetization: 0.00 μB per atom

Cell lengths 9.510, 9.510, 9.510 Å; angles 22.70, 22.70, 22.70 degrees
Fractional positions:
La 0.000 0.000 0.000
Pm 0.835 0.835 0.835
Br 0.420 0.420 0.420
Br 0.583 0.583 0.583

(17)
LaPmRhBr | PBE-GGA | relaxed

Results
- Raw formation energy: -1.1207 eV/atom
- Calculated volume: 117.2 Å³ per cell
- Magnetization: 0.00 μB per atom

Cell lengths 8.329, 8.329, 8.329 Å; angles 28.61, 28.61, 28.61 degrees
Fractional positions:
La 0.000 0.000 0.000
Pm 0.796 0.796 0.796
Rh 0.398 0.398 0.398
Br 0.226 0.226 0.226

(18)
LaPmRuBr | PBE-GGA | relaxed

Results
- Raw formation energy: -0.8195 eV/atom
- Calculated volume: 115.2 Å³ per cell
- Magnetization: 0.00 μB per atom

Cell lengths 8.313, 8.313, 8.313 Å; angles 28.45, 28.45, 28.45 degrees
Fractional positions:
La 0.000 0.000 0.000
Pm 0.204 0.204 0.204
Ru 0.604 0.604 0.604
Br 0.774 0.774 0.774

(19)
LaPmSBr | PBE-GGA | relaxed

Results
- Raw formation energy: -1.6385 eV/atom
- Calculated volume: 107.4 Å³ per cell
- Magnetization: 0.06 μB per atom

Cell lengths 8.073, 8.073, 8.073 Å; angles 28.72, 28.72, 28.72 degrees
Fractional positions:
La 0.000 0.000 0.000
Pm 0.197 0.197 0.197
S 0.596 0.596 0.596
Br 0.770 0.770 0.770

(20)
La4Pm2Tl3Br2 | PBE-GGA | relaxed

Results
- Raw formation energy: -0.6262 eV/atom
- Calculated volume: 357.9 Å³ per cell
- Magnetization: 0.00 μB per atom

Cell lengths 5.247, 5.247, 15.010 Å; angles 90.00, 90.00, 120.00 degrees
Fractional positions:
La 0.333 0.667 0.329
La 0.333 0.667 0.851
La 0.667 0.333 0.149
La 0.667 0.333 0.671
Pm 0.333 0.667 0.576
Pm 0.667 0.333 0.424
Tl 0.000 0.000 0.257
Tl 0.000 0.000 0.500
Tl 0.000 0.000 0.743
Br 0.333 0.667 0.069
Br 0.667 0.333 0.931